1.
# Ge2PHPt

A geometry-optimized Ge2PHPt structure (GGA-PBE, Alexandria via LeMat-Bulk).

Computed properties:
E_tot: -4.38 eV per atom
crystal system: tetragonal
symmetry: P4/mmm
Fermi-level density of states: 0.298 states/eV/atom

Unit cell a=4.217 b=3.995 c=4.217 alpha=90.00 beta=90.00 gamma=90.00
Atoms (fractional coordinates):
P 0.000 0.500 0.000
Ge 0.000 0.000 0.500
Ge 0.500 0.000 0.000
Pt 0.500 0.500 0.500
H 0.000 0.000 0.000

2.
# GePHS2

A geometry-optimized GePHS2 structure (GGA-PBE, Alexandria via LeMat-Bulk).

Computed properties:
E_tot: -3.72 eV per atom
crystal system: tetragonal
symmetry: P4/mmm
energy above the lowest structure with this stoichiometry: 0.000 eV per atom
Fermi-level density of states: 0.328 states/eV/atom

Unit cell a=4.802 b=4.802 c=3.200 alpha=90.00 beta=90.00 gamma=90.00
Atoms (fractional coordinates):
P 0.000 0.000 0.500
Ge 0.500 0.500 0.500
S 0.000 0.500 0.000
S 0.500 0.000 0.000
H 0.000 0.000 0.000

3.
# GePHS2

A geometry-optimized GePHS2 structure (GGA-PBE, Alexandria via LeMat-Bulk).

Computed properties:
E_tot: -3.15 eV per atom
crystal system: tetragonal
symmetry: P4/mmm
energy above the lowest structure with this stoichiometry: 0.569 eV per atom
Fermi-level density of states: 0.848 states/eV/atom

Unit cell a=4.787 b=4.787 c=4.725 alpha=90.00 beta=90.00 gamma=90.00
Each line ends with the local moment (μB).
Atoms (fractional coordinates):
P 0.000 0.000 0.500  0.21
Ge 0.000 0.000 0.000  0.00
S 0.000 0.500 0.000  0.01
S 0.500 0.000 0.000  0.01
H 0.500 0.500 0.500  0.35

4.
# Sm4GeP2H

A geometry-optimized Sm4GeP2H structure (GGA-PBE, Alexandria via LeMat-Bulk).

Computed properties:
E_tot: -5.86 eV per atom
crystal system: orthorhombic
symmetry: Cmcm
Fermi-level density of states: 0.474 states/eV/atom

Unit cell a=4.080 b=6.964 c=13.880 alpha=90.00 beta=90.00 gamma=107.03
Atoms (fractional coordinates):
Sm 0.271 0.541 0.122
Sm 0.729 0.459 0.622
Sm 0.729 0.459 0.878
Sm 0.271 0.541 0.378
Sm 0.000 0.000 0.500
Sm 0.000 0.000 0.000
Sm 0.445 0.889 0.750
Sm 0.555 0.111 0.250
Ge 0.110 0.220 0.750
Ge 0.890 0.780 0.250
P 0.364 0.728 0.561
P 0.636 0.272 0.061
P 0.636 0.272 0.439
P 0.364 0.728 0.939
H 0.846 0.692 0.750
H 0.154 0.308 0.250

5.
# Zr4GeP2H

A geometry-optimized Zr4GeP2H structure (GGA-PBE, Alexandria via LeMat-Bulk).

Computed properties:
E_tot: -7.65 eV per atom
crystal system: orthorhombic
symmetry: Cmcm
Fermi-level density of states: 0.421 states/eV/atom

Unit cell a=3.780 b=6.282 c=12.466 alpha=90.00 beta=90.00 gamma=107.51
Atoms (fractional coordinates):
Zr 0.269 0.539 0.119
Zr 0.731 0.461 0.619
Zr 0.731 0.461 0.881
Zr 0.269 0.539 0.381
Zr 0.000 0.000 0.500
Zr 0.000 0.000 0.000
Zr 0.443 0.886 0.750
Zr 0.557 0.114 0.250
Ge 0.109 0.217 0.750
Ge 0.891 0.783 0.250
P 0.365 0.730 0.562
P 0.635 0.270 0.062
P 0.635 0.270 0.438
P 0.365 0.730 0.938
H 0.842 0.683 0.750
H 0.158 0.317 0.250

6.
# Pa3GeH3

A geometry-optimized Pa3GeH3 structure (GGA-PBE, Alexandria via LeMat-Bulk).

Computed properties:
E_tot: -6.44 eV per atom
crystal system: hexagonal
symmetry: P6_3/m
Fermi-level density of states: 1.436 states/eV/atom

Unit cell a=4.140 b=7.828 c=7.828 alpha=120.00 beta=90.00 gamma=90.00
Atoms (fractional coordinates):
Pa 0.750 0.710 0.628
Pa 0.750 0.918 0.290
Pa 0.250 0.628 0.918
Pa 0.750 0.372 0.082
Pa 0.250 0.082 0.710
Pa 0.250 0.290 0.372
Ge 0.250 0.667 0.333
Ge 0.750 0.333 0.667
H 0.750 0.048 0.817
H 0.750 0.769 0.952
H 0.250 0.817 0.769
H 0.750 0.183 0.231
H 0.250 0.231 0.048
H 0.250 0.952 0.183

7.
# Pa2GeH3

A geometry-optimized Pa2GeH3 structure (GGA-PBE, Alexandria via LeMat-Bulk).

Computed properties:
E_tot: -5.99 eV per atom
crystal system: orthorhombic
symmetry: Immm
Fermi-level density of states: 1.096 states/eV/atom

Unit cell a=3.855 b=7.745 c=7.745 alpha=45.91 beta=75.59 gamma=75.59
Each line ends with the local moment (μB).
Atoms (fractional coordinates):
Pa 0.500 0.258 0.742  0.61
Pa 0.500 0.742 0.258  0.61
Pa 0.783 0.717 0.717  0.31
Pa 0.217 0.283 0.283  0.31
Ge 0.878 0.122 0.122  -0.01
Ge 0.122 0.878 0.878  -0.01
H 0.322 0.486 0.869  0.00
H 0.942 0.558 0.559  -0.01
H 0.678 0.130 0.514  0.00
H 0.322 0.870 0.486  0.00
H 0.058 0.442 0.441  -0.01
H 0.678 0.514 0.131  0.00

8.
# Pa2GeH

A geometry-optimized Pa2GeH structure (GGA-PBE, Alexandria via LeMat-Bulk).

Computed properties:
E_tot: -6.77 eV per atom
crystal system: trigonal
symmetry: R-3m
energy above the lowest structure with this stoichiometry: 0.069 eV per atom
Fermi-level density of states: 1.864 states/eV/atom

Unit cell a=4.067 b=4.067 c=5.754 alpha=69.30 beta=69.30 gamma=60.00
Atoms (fractional coordinates):
H 0.500 0.500 0.500
Ge 0.000 0.000 0.000
Pa 0.772 0.772 0.685
Pa 0.228 0.228 0.315